The following is a PBE-GGA calculation of CaCu2BRh after structural relaxation, from Alexandria via LeMat-Bulk.

abc: 4.146 4.146 4.231
angles: 90.00 90.00 90.00
Atoms (fractional coordinates):
Ca1 0.000 0.000 0.000
Cu1 0.000 0.500 0.500
Cu2 0.500 0.000 0.500
B1 0.500 0.500 0.500
Rh1 0.500 0.500 0.000

Size of the total moment   0.0000 μB/atom
D(E_F)   0.516 states/eV per atom
E_tot   -0.3679 Ry/atom
ΔH_f (0 K)   -0.16 eV/atom

The following is a PBE-GGA calculation of CaCu2BS4 after structural relaxation, from Alexandria via LeMat-Bulk.

abc: 5.653 5.653 5.653
angles: 115.35 115.35 98.27
Atoms (fractional coordinates):
Ca1 0.000 0.000 0.000
Cu1 0.250 0.750 0.500
Cu2 0.750 0.250 0.500
B1 0.500 0.500 0.000
S1 0.168 0.168 0.629
S2 0.461 0.832 0.000
S3 0.539 0.539 0.371
S4 0.832 0.461 0.000

Size of the total moment   0.0000 μB/atom
D(E_F)   0.419 states/eV per atom
E_tot   -0.3619 Ry/atom

The following is a PBE-GGA calculation of Ca2ScCuB after structural relaxation, from Alexandria via LeMat-Bulk.

abc: 6.040 6.040 4.099
angles: 90.00 90.00 90.00
Atoms (fractional coordinates):
Ca1 0.000 0.500 0.000
Ca2 0.500 0.000 0.000
Sc1 0.000 0.000 0.000
Cu1 0.500 0.500 0.500
B1 0.000 0.000 0.500

Size of the total moment   0.0000 μB/atom
D(E_F)   0.749 states/eV per atom
E_tot   -0.2300 Ry/atom
ΔH_f (0 K)   1.09 eV/atom

The following is a PBE-GGA calculation of Ca2CuSiB after structural relaxation, from Alexandria via LeMat-Bulk.

abc: 5.610 5.610 3.726
angles: 90.00 90.00 90.00
Atoms (fractional coordinates):
Ca1 0.000 0.500 0.000
Ca2 0.500 0.000 0.000
Cu1 0.000 0.000 0.500
Si1 0.500 0.500 0.000
B1 0.500 0.500 0.500

Size of the total moment   0.0000 μB/atom
D(E_F)   0.879 states/eV per atom
E_tot   -0.2682 Ry/atom

The following is a PBE-GGA calculation of Ca2TaCuB after structural relaxation, from Alexandria via LeMat-Bulk.

abc: 5.125 5.125 4.350
angles: 90.00 90.00 90.00
Atoms (fractional coordinates):
Ca1 0.000 0.500 0.000
Ca2 0.500 0.000 0.000
Ta1 0.000 0.000 0.500
Cu1 0.500 0.500 0.500
B1 0.000 0.000 0.000

Size of the total moment   0.1900 μB/atom
D(E_F)   1.023 states/eV per atom
E_tot   -0.3503 Ry/atom
ΔH_f (0 K)   0.56 eV/atom

The following is a PBE-GGA calculation of CaDyB12 after structural relaxation, from Alexandria via LeMat-Bulk.

abc: 4.118 4.118 8.241
angles: 90.00 90.00 90.00
Atoms (fractional coordinates):
Ca1 0.000 0.000 0.000
Dy1 0.000 0.000 0.500
B1 0.200 0.500 0.252
B2 0.200 0.500 0.748
B3 0.500 0.200 0.252
B4 0.500 0.200 0.748
B5 0.500 0.500 0.101
B6 0.500 0.500 0.401
B7 0.500 0.500 0.599
B8 0.500 0.500 0.899
B9 0.500 0.800 0.252
B10 0.500 0.800 0.748
B11 0.800 0.500 0.252
B12 0.800 0.500 0.748

Size of the total moment   0.0000 μB/atom
D(E_F)   0.081 states/eV per atom
E_tot   -0.4858 Ry/atom
ΔH_f (0 K)   -0.41 eV/atom

The following is a PBE-GGA calculation of Ca2DyB2Rh5 after structural relaxation, from Alexandria via LeMat-Bulk.

abc: 10.083 10.083 3.093
angles: 90.00 90.00 90.00
Atoms (fractional coordinates):
Ca1 0.178 0.322 0.000
Ca2 0.322 0.822 0.000
Ca3 0.678 0.178 0.000
Ca4 0.822 0.678 0.000
Dy1 0.000 0.000 0.000
Dy2 0.500 0.500 0.000
B1 0.119 0.619 0.000
B2 0.381 0.119 0.000
B3 0.619 0.881 0.000
B4 0.881 0.381 0.000
Rh1 0.000 0.500 0.500
Rh2 0.070 0.767 0.500
Rh3 0.233 0.070 0.500
Rh4 0.267 0.570 0.500
Rh5 0.430 0.267 0.500
Rh6 0.500 0.000 0.500
Rh7 0.570 0.733 0.500
Rh8 0.733 0.430 0.500
Rh9 0.767 0.930 0.500
Rh10 0.930 0.233 0.500

Size of the total moment   0.0000 μB/atom
D(E_F)   0.345 states/eV per atom
E_tot   -0.4742 Ry/atom
ΔH_f (0 K)   -0.58 eV/atom

The following is a PBE-GGA calculation of Ca3Er3Ge2BO13 after structural relaxation, from Alexandria via LeMat-Bulk.

abc: 7.407 7.407 10.491
angles: 90.00 90.00 90.00
Atoms (fractional coordinates):
Ca1 0.000 0.000 0.000
Ca2 0.229 0.230 0.770
Ca3 0.271 0.730 0.270
Ca4 0.500 0.500 0.500
Ca5 0.729 0.270 0.270
Ca6 0.771 0.770 0.770
Er1 0.000 0.000 0.543
Er2 0.228 0.772 0.770
Er3 0.272 0.272 0.270
Er4 0.500 0.500 0.043
Er5 0.728 0.728 0.270
Er6 0.772 0.228 0.770
Ge1 0.000 0.500 0.014
Ge2 0.000 0.500 0.515
Ge3 0.500 0.000 0.015
Ge4 0.500 0.000 0.514
B1 0.000 0.000 0.273
B2 0.500 0.500 0.773
O1 0.000 0.000 0.759
O2 0.005 0.163 0.357
O3 0.009 0.699 0.615
O4 0.015 0.694 0.916
O5 0.165 0.007 0.193
O6 0.196 0.491 0.416
O7 0.197 0.485 0.111
O8 0.303 0.985 0.611
O9 0.304 0.991 0.916
O10 0.335 0.507 0.693
O11 0.485 0.194 0.416
O12 0.491 0.199 0.115
O13 0.495 0.663 0.857
O14 0.500 0.500 0.259
O15 0.505 0.337 0.857
O16 0.509 0.801 0.115
O17 0.515 0.806 0.416
O18 0.665 0.493 0.693
O19 0.696 0.009 0.916
O20 0.697 0.015 0.611
O21 0.803 0.515 0.111
O22 0.804 0.509 0.416
O23 0.835 0.993 0.193
O24 0.985 0.306 0.916
O25 0.991 0.301 0.615
O26 0.995 0.837 0.357

Relative energy among the computed polymorphs   0 meV per atom
Size of the total moment   0.0000 μB/atom
D(E_F)   0.000 states/eV per atom
E_tot   -0.5484 Ry/atom

Repeat the fourth record exactly.
The following is a PBE-GGA calculation of Ca2CuSiB after structural relaxation, from Alexandria via LeMat-Bulk.

abc: 5.610 5.610 3.726
angles: 90.00 90.00 90.00
Atoms (fractional coordinates):
Ca1 0.000 0.500 0.000
Ca2 0.500 0.000 0.000
Cu1 0.000 0.000 0.500
Si1 0.500 0.500 0.000
B1 0.500 0.500 0.500

Size of the total moment   0.0000 μB/atom
D(E_F)   0.879 states/eV per atom
E_tot   -0.2682 Ry/atom